Pu3GaSi3 | PBE | relaxed

Computed properties:
DOS(E_F)	53.83	states/eV/cell
raw total energy	-9.270	eV/atom
formation energy (no corrections)	-2.60	eV/f.u.

a b c (Å): 3.911 4.129 18.173
angles (deg): 90.00 90.00 90.00
Space group Imm2 (No. 44)
Inequivalent atoms, fractional coordinates:
Pu 0.000 0.000 0.000 (multiplicity 2)
Pu 0.000 0.000 0.385 (multiplicity 2)
Pu 0.000 0.500 0.699 (multiplicity 2)
Ga 0.000 0.500 0.128 (multiplicity 2)
Si 0.000 0.000 0.551 (multiplicity 2)
Si 0.000 0.000 0.835 (multiplicity 2)
Si 0.000 0.500 0.260 (multiplicity 2)